# meta-GGA SCAN Ba4CaZr5O15, single point on PBEsol structure
data_Ba4CaZr5O15
_chemical_formula_sum 'Ba4 Ca1 Zr5 O15'
_symmetry_space_group_name_H-M 'P 4/m'
_symmetry_Int_Tables_number 83
_cell_length_a 9.327
_cell_length_b 9.327
_cell_length_c 4.173
_cell_angle_alpha 90.00
_cell_angle_beta 90.00
_cell_angle_gamma 90.00
loop_
_symmetry_equiv_pos_as_xyz
'x,y,z'
'-x,-y,-z'
'-y,x,z'
'y,-x,-z'
'-x,-y,z'
'x,y,-z'
'y,-x,z'
'-y,x,-z'
loop_
_atom_site_label
_atom_site_fract_x
_atom_site_fract_y
_atom_site_fract_z
_atom_site_occupancy
Ba1 0.101 0.699 0.000 1
Ca1 0.500 0.500 0.000 1
Zr1 0.000 0.000 0.500 1
Zr2 0.203 0.401 0.500 1
O1 0.000 0.000 0.000 1
O2 0.000 0.500 0.500 1
O3 0.103 0.199 0.500 1
O4 0.209 0.403 0.000 1
O5 0.304 0.598 0.500 1
# * spin magnetization: 0.00 μB per formula unit
# * energy above the lowest structure with this stoichiometry: 0.20 kcal/mol of atoms
# * E_form (uncorrected): -8634 kJ/mol of formula units
# * raw total energy: -20.17 eV/atom

---

# meta-GGA SCAN Ba4CaZr5O15, single point on PBEsol structure
data_Ba4CaZr5O15
_chemical_formula_sum 'Ba8 Ca2 Zr10 O30'
_symmetry_space_group_name_H-M 'C m m m'
_symmetry_Int_Tables_number 65
_symmetry_space_group_name_Hall '-C 2 2'
_cell_length_a 5.909
_cell_length_b 29.460
_cell_length_c 4.172
_cell_angle_alpha 90.00
_cell_angle_beta 90.00
_cell_angle_gamma 90.00
loop_
_atom_site_label
_atom_site_fract_x
_atom_site_fract_y
_atom_site_fract_z
_atom_site_occupancy
Ba1 0.000 0.099 0.000 1
Ba2 0.000 0.300 0.000 1
Ca1 0.000 0.500 0.000 1
Zr1 0.000 0.000 0.500 1
Zr2 0.000 0.200 0.500 1
Zr3 0.000 0.402 0.500 1
O1 0.000 0.000 0.000 1
O2 0.000 0.200 0.000 1
O3 0.000 0.405 0.000 1
O4 0.247 0.451 0.500 1
O5 0.249 0.351 0.500 1
O6 0.250 0.250 0.500 1
# * spin magnetization: 0.00 μB per formula unit
# * energy above the lowest structure with this stoichiometry: 0.23 kcal/mol of atoms
# * E_form (uncorrected): -8632 kJ/mol of formula units
# * raw total energy: -20.17 eV/atom

---

# meta-GGA SCAN Ba4CaZr5O15, single point on PBEsol structure
data_Ba4CaZr5O15
_chemical_formula_sum 'Ba16 Ca4 Zr20 O60'
_symmetry_space_group_name_H-M 'I -4 2 m'
_symmetry_Int_Tables_number 121
_symmetry_space_group_name_Hall 'I -4 2'
_cell_length_a 5.857
_cell_length_b 5.857
_cell_length_c 41.897
_cell_angle_alpha 90.00
_cell_angle_beta 90.00
_cell_angle_gamma 90.00
loop_
_atom_site_label
_atom_site_fract_x
_atom_site_fract_y
_atom_site_fract_z
_atom_site_occupancy
Ba1 0.000 0.000 0.000 1
Ba2 0.000 0.000 0.100 1
Ba3 0.000 0.000 0.201 1
Ba4 0.000 0.000 0.399 1
Ba5 0.000 0.000 0.500 1
Ca1 0.000 0.000 0.300 1
Zr1 0.000 0.500 0.050 1
Zr2 0.000 0.500 0.151 1
Zr3 0.000 0.500 0.250 1
O1 0.000 0.500 0.000 1
O2 0.000 0.500 0.101 1
O3 0.000 0.500 0.201 1
O4 0.195 0.195 0.746 1
O5 0.204 0.204 0.346 1
O6 0.211 0.211 0.150 1
O7 0.227 0.227 0.550 1
O8 0.227 0.227 0.950 1
# * spin magnetization: 0.00 μB per formula unit
# * energy above the lowest structure with this stoichiometry: 0.00 kcal/mol of atoms
# * E_form (uncorrected): -8655 kJ/mol of formula units
# * raw total energy: -20.18 eV/atom

---

# meta-GGA SCAN BaCaOs2, single point on PBEsol structure
data_BaCaOs2
_chemical_formula_sum 'Ba2 Ca2 Os4'
_symmetry_space_group_name_H-M 'C m m 2'
_symmetry_Int_Tables_number 35
_cell_length_a 4.608
_cell_length_b 4.870
_cell_length_c 9.197
_cell_angle_alpha 90.00
_cell_angle_beta 90.00
_cell_angle_gamma 90.00
loop_
_symmetry_equiv_pos_as_xyz
'x,y,z'
'-x,-y,z'
'-x,y,z'
'x,-y,z'
'x+1/2,y+1/2,z'
'-x+1/2,-y+1/2,z'
'-x+1/2,y+1/2,z'
'x+1/2,-y+1/2,z'
loop_
_atom_site_label
_atom_site_fract_x
_atom_site_fract_y
_atom_site_fract_z
_atom_site_occupancy
Ba1 0.000 0.000 0.000 1
Ca1 0.000 0.500 0.599 1
Os1 0.000 0.000 0.369 1
Os2 0.000 0.500 0.270 1
# * spin magnetization: 0.00 μB per formula unit
# * formation energy from the elements: 507 meV per atom
# * energy above the lowest structure with this stoichiometry: 0.00 kcal/mol of atoms
# * raw total energy: -47.74 eV/atom

---

# meta-GGA SCAN BaCaOs2, single point on PBEsol structure
data_BaCaOs2
_chemical_formula_sum 'Ba1 Ca1 Os2'
_symmetry_space_group_name_H-M 'P 4/m m m'
_symmetry_Int_Tables_number 123
_symmetry_space_group_name_Hall '-P 4 2'
_cell_length_a 2.927
_cell_length_b 2.927
_cell_length_c 9.675
_cell_angle_alpha 90.00
_cell_angle_beta 90.00
_cell_angle_gamma 90.00
loop_
_atom_site_label
_atom_site_fract_x
_atom_site_fract_y
_atom_site_fract_z
_atom_site_occupancy
Ba1 0.000 0.000 0.000 1
Ca1 0.000 0.000 0.500 1
Os1 0.500 0.500 0.269 1
# * spin magnetization: 1.84 μB per formula unit
# * formation energy from the elements: 1191 meV per atom
# * energy above the lowest structure with this stoichiometry: 15.78 kcal/mol of atoms
# * raw total energy: -47.05 eV/atom

---

# meta-GGA SCAN Ba2CaOs, single point on PBEsol structure
data_Ba2CaOs
_chemical_formula_sum 'Ba4 Ca2 Os2'
_symmetry_space_group_name_H-M 'I 4/m m m'
_symmetry_Int_Tables_number 139
_symmetry_space_group_name_Hall '-I 4 2'
_cell_length_a 5.452
_cell_length_b 5.452
_cell_length_c 7.811
_cell_angle_alpha 90.00
_cell_angle_beta 90.00
_cell_angle_gamma 90.00
loop_
_atom_site_label
_atom_site_fract_x
_atom_site_fract_y
_atom_site_fract_z
_atom_site_occupancy
Ba1 0.000 0.500 0.250 1
Ca1 0.000 0.000 0.000 1
Os1 0.000 0.000 0.500 1
# * spin magnetization: 0.00 μB per formula unit
# * formation energy from the elements: 742 meV per atom
# * energy above the lowest structure with this stoichiometry: 0.19 kcal/mol of atoms
# * raw total energy: -39.42 eV/atom